No. 1
Material: Ba2ZrTe
Method: DFT, PBE
State: relaxed

Summary:
Calculated total energy = -4.03 eV per atom
Crystal system = orthorhombic
Size of the total moment = 0.00 μB per formula unit

```
data_Ba2ZrTe
_chemical_formula_sum 'Ba4 Zr2 Te2'
_cell_length_a 7.008
_cell_length_b 9.946
_cell_length_c 3.957
_cell_angle_alpha 90.00
_cell_angle_beta 90.00
_cell_angle_gamma 90.00
_space_group_name_H-M_alt 'C m m m'
_space_group_IT_number 65
_space_group_name_Hall '-C 2 2'
loop_
_atom_site_label
_atom_site_type_symbol
_atom_site_fract_x
_atom_site_fract_y
_atom_site_fract_z
Ba1 Ba 0.250 0.250 0.000
Zr1 Zr 0.000 0.000 0.500
Te1 Te 0.000 0.500 0.500
```



No. 2
Material: BaZr2Te
Method: DFT, PBE
State: relaxed

Summary:
Calculated total energy = -5.84 eV per atom
Crystal system = tetragonal
Size of the total moment = 0.14 μB per formula unit

```
data_BaZr2Te
_chemical_formula_sum 'Ba1 Zr2 Te1'
_cell_length_a 3.749
_cell_length_b 3.749
_cell_length_c 8.634
_cell_angle_alpha 90.00
_cell_angle_beta 90.00
_cell_angle_gamma 90.00
_space_group_name_H-M_alt 'P 4 m m'
_space_group_IT_number 99
loop_
_space_group_symop_operation_xyz
'x,y,z'
'-y,x,z'
'-x,-y,z'
'y,-x,z'
'-x,y,z'
'y,x,z'
'x,-y,z'
'-y,-x,z'
loop_
_atom_site_label
_atom_site_type_symbol
_atom_site_fract_x
_atom_site_fract_y
_atom_site_fract_z
Ba1 Ba 0.000 0.000 0.000
Zr1 Zr 0.000 0.000 0.473
Zr2 Zr 0.500 0.500 0.665
Te1 Te 0.500 0.500 0.301
```



No. 3
Material: Ba3ZrTe
Method: DFT, PBE
State: relaxed

Summary:
Polymorph energy (0 for the lowest one) = 0.0 meV per atom
Crystal system = cubic
Size of the total moment = 5.66 μB per formula unit

```
data_Ba3ZrTe
_chemical_formula_sum 'Ba3 Zr1 Te1'
_cell_length_a 6.565
_cell_length_b 6.565
_cell_length_c 6.565
_cell_angle_alpha 90.00
_cell_angle_beta 90.00
_cell_angle_gamma 90.00
_space_group_name_H-M_alt 'P m -3 m'
_space_group_IT_number 221
_space_group_name_Hall '-P 4 2 3'
loop_
_atom_site_label
_atom_site_type_symbol
_atom_site_fract_x
_atom_site_fract_y
_atom_site_fract_z
Ba1 Ba 0.000 0.000 0.500
Zr1 Zr 0.500 0.500 0.500
Te1 Te 0.000 0.000 0.000
```



No. 4
Material: BaZr4Te
Method: DFT, PBE
State: relaxed

Summary:
Calculated total energy = -6.14 eV per atom
Crystal system = cubic
Size of the total moment = 0.00 μB per formula unit

```
data_BaZr4Te
_chemical_formula_sum 'Ba4 Zr16 Te4'
_cell_length_a 8.702
_cell_length_b 8.702
_cell_length_c 8.702
_cell_angle_alpha 90.00
_cell_angle_beta 90.00
_cell_angle_gamma 90.00
_space_group_name_H-M_alt 'F -4 3 m'
_space_group_IT_number 216
_space_group_name_Hall 'F -4 2 3'
loop_
_atom_site_label
_atom_site_type_symbol
_atom_site_fract_x
_atom_site_fract_y
_atom_site_fract_z
Ba1 Ba 0.000 0.000 0.000
Zr1 Zr 0.129 0.129 0.371
Te1 Te 0.250 0.250 0.750
```



Q: Look up the size of the total moment of the first one.
A: 0.00 μB per formula unit